No. 1
Density functional theory data (PBE) for an optimized crystal structure of BeFeRe2.

## Properties
The calculation puts the energy of formation from the pure elements at 0.1012 eV/atom.

abc: 2.6343 3.6690 5.1398
angles: 90.00 90.00 90.00
Site moments in Bohr magnetons follow the coordinates.
Fractional positions:
Re 0.0000 0.0000 0.0074  0.00
Re 0.0000 0.0000 0.4926  0.00
Fe 0.5000 0.5000 0.7500  0.07
Be 0.5000 0.5000 0.2500  0.00

***

No. 2
Density functional theory data (PBE) for an optimized crystal structure of MnNbSiRh.

## Properties
The formation energy without anion corrections comes out at -358 meV/atom.

abc: 4.3214 4.3214 4.3214
angles: 60.00 60.00 60.00
Site moments in Bohr magnetons follow the coordinates.
Fractional positions:
Nb 0.5000 0.5000 0.5000  -0.62
Mn 0.2500 0.2500 0.2500  2.88
Rh 0.0000 0.0000 0.0000  0.23
Si 0.7500 0.7500 0.7500  0.00

***

Question: Which formula does entry 2 have?
Answer: MnNbSiRh

***

Question: What is the formula in the second record?
Answer: MnNbSiRh